No. 1
## Tm2ScOs (PBE)

Data for a relaxed Tm2ScOs crystal.

Results
Energy above the lowest structure with this stoichiometry, eV/atom: 0.000
Total energy, eV per atom: -6.95
Magnetic moment, μB per cell: 0.0
Density of states at the Fermi level, states/eV/f.u.: 2.70
Calculated volume, Å³ per atom: 24.12
Formation energy, eV/atom: -0.32

Cell: 6.1599 7.1209 8.7982 Å, 90.00 90.00 90.00°
Element x y z (fractional)
Tm: 0.8278 0.3232 0.5603
Tm: 0.8278 0.3232 0.9397
Tm: 0.1722 0.6768 0.0603
Tm: 0.3278 0.1768 0.4397
Tm: 0.6722 0.8232 0.9397
Tm: 0.6722 0.8232 0.5603
Tm: 0.3278 0.1768 0.0603
Tm: 0.1722 0.6768 0.4397
Sc: 0.3736 0.4599 0.7500
Sc: 0.6264 0.5401 0.2500
Sc: 0.8736 0.0401 0.2500
Sc: 0.1264 0.9599 0.7500
Os: 0.4797 0.8815 0.2500
Os: 0.0203 0.3815 0.2500
Os: 0.9797 0.6185 0.7500
Os: 0.5203 0.1185 0.7500



No. 2
## PrNpTlO6 (PBE)

Data for a relaxed PrNpTlO6 crystal.

Results
ΔE_f (raw), meV per atom: -2316
Total energy, eV per atom: -7.85
Magnetic moment, μB per cell: 2.0
Density of states at the Fermi level, states/eV/f.u.: 1.03
Calculated volume, Å³ per atom: 16.05

Cell: 5.6607 5.6607 10.4079 Å, 90.00 90.00 120.00°
Last column: magnetic moment on the atom in μB.
Element x y z (fractional)
O: 0.0289 0.6665 0.8638  -0.04
O: 0.9711 0.6376 0.3638  -0.04
O: 0.6665 0.6376 0.1362  -0.04
O: 0.6376 0.9711 0.8638  -0.04
O: 0.6376 0.6665 0.6362  -0.04
O: 0.6665 0.0289 0.3638  -0.04
O: 0.9711 0.3335 0.1362  -0.04
O: 0.3624 0.0289 0.1362  -0.04
O: 0.0289 0.3624 0.6362  -0.04
O: 0.3335 0.3624 0.8638  -0.04
O: 0.3624 0.3335 0.3638  -0.04
O: 0.3335 0.9711 0.6362  -0.04
Np: 0.6667 0.3333 0.2500  1.23
Np: 0.3333 0.6667 0.7500  1.23
Pr: 0.0000 0.0000 0.0000  -0.01
Pr: 0.0000 0.0000 0.5000  -0.01
Tl: 0.3333 0.6667 0.2500  0.00
Tl: 0.6667 0.3333 0.7500  0.00



Which of these has the lowest total energy?
PrNpTlO6